Crystalline AsSe4I at its relaxed geometry. Source: the Alexandria database, functional PBE.

Cell: 6.4373 6.8278 9.9016 Å, 77.37 108.97 90.00°
Last column: nearest neighbours and their distance in Å.
Fractional positions:
As 0.5000 0.0000 0.5000  6 Se 2.72-2.83
As 0.0000 0.5000 0.5000  6 Se 2.72-2.83
Se 0.5792 0.0695 0.7717  1 Se 2.46, 1 As 2.72
Se 0.8074 0.4305 0.2283  1 Se 2.46, 1 As 2.72
Se 0.4208 0.9305 0.2283  1 Se 2.46, 1 As 2.72
Se 0.1926 0.5695 0.7717  1 Se 2.46, 1 As 2.72
Se 0.9414 0.8421 0.5854  2 Se 2.46-2.70, 1 As 2.72
Se 0.3559 0.6579 0.4146  2 Se 2.46-2.70, 1 As 2.72
Se 0.0586 0.1579 0.4146  2 Se 2.46-2.70, 1 As 2.72
Se 0.6441 0.3421 0.5854  2 Se 2.46-2.70, 1 As 2.72
I 0.8081 0.7500 0.0000  2 Se 2.78
I 0.1919 0.2500 0.0000  2 Se 2.78

Results
The value obtained for the uncorrected energy is -3.20 eV/atom. As for the size of the total moment: 0.0 μB/f.u. The value obtained for the uncorrected formation energy is 0.1525 eV per atom. The space group is C2/c.

***

Crystalline Fe2AgRu at its relaxed geometry. Source: the Alexandria database, functional PBE.

Cell: 3.0549 3.0549 6.1416 Å, 90.00 90.00 90.00°
Last column: nearest neighbours and their distance in Å.
Fractional positions:
Ag 0.5000 0.5000 0.7500  8 Fe 2.74, 4 Ag 3.05
Fe 0.0000 0.0000 0.0244  4 Ru 2.57, 4 Ag 2.74, 1 Fe 2.77
Fe 0.0000 0.0000 0.4756  4 Ru 2.57, 4 Ag 2.74, 1 Fe 2.77
Ru 0.5000 0.5000 0.2500  8 Fe 2.57

Results
The value obtained for the uncorrected energy is -6.91 eV/atom. As for the size of the total moment: 6.8 μB/f.u. The value obtained for the energy relative to the elements is 34 kJ/mol of atoms. The space group is P4/mmm.

***

Crystalline Te4Rh5 at its relaxed geometry. Source: the Alexandria database, functional PBE.

Cell: 7.3362 7.3362 7.3362 Å, 93.49 93.49 151.43°
Last column: nearest neighbours and their distance in Å.
Fractional positions:
Te 0.7325 0.0000 0.7325  5 Rh 2.69-2.70
Te 0.2675 0.0000 0.2675  5 Rh 2.69-2.70
Te 0.0000 0.2675 0.2675  5 Rh 2.69-2.70
Te 0.0000 0.7325 0.7325  5 Rh 2.69-2.70
Rh 0.0000 0.0000 0.0000  4 Te 2.69
Rh 0.6767 0.3233 0.0000  4 Te 2.70, 2 Rh 2.76
Rh 0.3233 0.6767 0.0000  4 Te 2.70, 2 Rh 2.76
Rh 0.3233 0.3233 0.6466  4 Te 2.70, 2 Rh 2.76
Rh 0.6767 0.6767 0.3534  4 Te 2.70, 2 Rh 2.76

Results
The value obtained for the uncorrected energy is -5.58 eV/atom. As for the size of the total moment: 0.0 μB/f.u. The value obtained for the uncorrected formation energy is -0.1018 eV per atom. The space group is I4/mmm.

***

Crystalline NdErAlHg at its relaxed geometry. Source: the Alexandria database, functional PBE.

Cell: 3.6293 3.6293 7.7324 Å, 90.00 90.00 90.00°
Last column: nearest neighbours and their distance in Å.
Fractional positions:
Nd 0.0000 0.0000 0.8426  4 Al 3.21, 4 Hg 3.39
Er 0.0000 0.0000 0.3637  4 Al 3.12, 4 Hg 3.14
Al 0.5000 0.5000 0.5924  4 Er 3.12, 4 Nd 3.21
Hg 0.5000 0.5000 0.1293  4 Er 3.14, 4 Nd 3.39

Results
The value obtained for the uncorrected energy is -3.77 eV/atom. As for the size of the total moment: 0.0 μB/f.u. The value obtained for the energy relative to the elements is -41 kJ/mol of atoms. The space group is P4mm.

***

Crystalline LaNd4Mg5 at its relaxed geometry. Source: the Alexandria database, functional PBE.

Cell: 3.8989 3.8989 19.5745 Å, 90.00 90.00 90.00°
Last column: nearest neighbours and their distance in Å.
Fractional positions:
La 0.0000 0.0000 0.0000  8 Mg 3.43
Nd 0.0000 0.0000 0.2028  8 Mg 3.36-3.37
Nd 0.0000 0.0000 0.4010  8 Mg 3.37
Nd 0.0000 0.0000 0.5990  8 Mg 3.37
Nd 0.0000 0.0000 0.7972  8 Mg 3.36-3.37
Mg 0.5000 0.5000 0.1043  4 Nd 3.36, 4 La 3.43
Mg 0.5000 0.5000 0.3017  8 Nd 3.37
Mg 0.5000 0.5000 0.5000  8 Nd 3.37
Mg 0.5000 0.5000 0.6983  8 Nd 3.37
Mg 0.5000 0.5000 0.8957  4 Nd 3.36, 4 La 3.43

Results
The value obtained for the uncorrected energy is -3.31 eV/atom. As for the size of the total moment: 0.0 μB/f.u. The value obtained for the energy relative to the elements is -11 kJ/mol of atoms. The space group is P4/mmm.

***

Crystalline Y4In2Ru at its relaxed geometry. Source: the Alexandria database, functional PBE.

Cell: 5.3127 5.3127 8.5125 Å, 71.82 71.82 90.00°
Last column: nearest neighbours and their distance in Å.
Fractional positions:
Y 0.1757 0.1757 0.6486  1 Ru 2.68
Y 0.8243 0.8243 0.3514  1 Ru 2.68
Y 0.0000 0.5000 0.0000  2 Ru 2.66
Y 0.5000 0.0000 0.0000  2 Ru 2.66
Ru 0.0000 0.0000 0.0000  6 Y 2.66-2.68
In 0.3768 0.3768 0.2465  5 Y 3.07-3.26
In 0.6232 0.6232 0.7535  5 Y 3.07-3.26

Results
The value obtained for the uncorrected energy is -5.97 eV/atom. As for the size of the total moment: 0.0 μB/f.u. The value obtained for the energy relative to the elements is -16 kJ/mol of atoms. The space group is I4/mmm.

***

Crystalline Mn2TcCl at its relaxed geometry. Source: the Alexandria database, functional PBE.

Cell: 7.4099 7.4099 7.4099 Å, 157.37 156.80 32.63°
Last column: nearest neighbours and their distance in Å.
Fractional positions:
Cl 0.3042 0.8042 0.5000  2 Tc 2.65, 4 Mn 2.67, 2 Cl 2.91
Mn 0.0490 0.0490 0.0000  4 Tc 2.44, 2 Mn 2.46
Mn 0.6869 0.1869 0.5000  2 Mn 2.46, 4 Cl 2.67
Tc 0.4599 0.4599 0.0000  4 Mn 2.44, 2 Cl 2.65

Results
The value obtained for the uncorrected energy is -7.29 eV/atom. As for the size of the total moment: 2.7 μB/f.u. The value obtained for the uncorrected formation energy is 0.3446 eV per atom. The space group is Imm2.

***

Crystalline InCo2Ni at its relaxed geometry. Source: the Alexandria database, functional PBE.

Cell: 4.5047 4.5047 4.4874 Å, 75.94 75.94 37.60°
Last column: nearest neighbours and their distance in Å.
Fractional positions:
Co 0.0028 0.0028 0.9825  3 Co 2.43-2.60, 3 Ni 2.54-2.69, 4 In 2.65-2.69
Co 0.7368 0.7368 0.8013  3 Co 2.43-2.60, 2 Ni 2.45
In 0.5005 0.5005 0.4887  3 Ni 2.61-2.65, 7 Co 2.65-2.74, 2 In 2.90
Ni 0.2599 0.2599 0.2275  5 Co 2.45-2.69, 3 In 2.61-2.65

Results
The value obtained for the uncorrected energy is -5.51 eV/atom. As for the size of the total moment: 3.1 μB/f.u. The value obtained for the energy relative to the elements is 17 kJ/mol of atoms. The space group is Cm.

***

Crystalline Dy3Pd5Au at its relaxed geometry. Source: the Alexandria database, functional PBE.

Cell: 5.7162 8.4191 8.4209 Å, 119.99 90.00 90.00°
Last column: nearest neighbours and their distance in Å.
Fractional positions:
Dy 0.7500 0.3496 0.3496  9 Pd 2.79-3.09
Dy 0.7500 0.0001 0.6504  9 Pd 2.79-3.09
Dy 0.7500 0.6504 0.0000  9 Pd 2.79-3.09
Dy 0.2500 0.6504 0.6504  9 Pd 2.79-3.09
Dy 0.2500 0.9999 0.3496  9 Pd 2.79-3.09
Dy 0.2500 0.3496 0.0000  9 Pd 2.79-3.09
Pd 0.0000 0.6667 0.3334  2 Pd 2.86, 6 Dy 3.09
Pd 0.5000 0.3333 0.6666  2 Pd 2.86, 6 Dy 3.09
Pd 0.0000 0.3333 0.6666  2 Pd 2.86, 6 Dy 3.09
Pd 0.5000 0.6667 0.3334  2 Pd 2.86, 6 Dy 3.09
Pd 0.7500 0.6810 0.6810  5 Dy 2.79-2.87, 2 Au 3.04
Pd 0.7500 0.0000 0.3190  5 Dy 2.79-2.87, 2 Au 3.04
Pd 0.7500 0.3189 0.0000  5 Dy 2.79-2.87, 2 Au 3.04
Pd 0.2500 0.3190 0.3190  5 Dy 2.79-2.87, 2 Au 3.04
Pd 0.2500 0.0000 0.6810  5 Dy 2.79-2.87, 2 Au 3.04
Pd 0.2500 0.6811 0.0000  5 Dy 2.79-2.87, 2 Au 3.04
Au 0.0000 0.0000 0.0000  2 Au 2.86, 6 Pd 3.04
Au 0.5000 0.0000 0.0000  2 Au 2.86, 6 Pd 3.04

Results
The value obtained for the uncorrected energy is -5.63 eV/atom. As for the size of the total moment: 0.0 μB/f.u. The value obtained for the energy relative to the elements is -82 kJ/mol of atoms. The space group is P6_3/mcm.

***

Crystalline BaCaP2 at its relaxed geometry. Source: the Alexandria database, functional PBE.

Cell: 5.3020 5.3020 5.3020 Å, 60.00 60.00 60.00°
Last column: nearest neighbours and their distance in Å.
Fractional positions:
P 0.2500 0.2500 0.2500  4 Ba 3.25, 4 Ca 3.25
P 0.7500 0.7500 0.7500  4 Ba 3.25, 4 Ca 3.25
Ca 0.0000 0.0000 0.0000  8 P 3.25
Ba 0.5000 0.5000 0.5000  8 P 3.25

Results
The value obtained for the uncorrected energy is -4.29 eV/atom. As for the size of the total moment: 0.0 μB/f.u. The value obtained for the energy relative to the elements is -58 kJ/mol of atoms. The space group is Fm-3m.

***

Crystalline BPtAu2 at its relaxed geometry. Source: the Alexandria database, functional PBE.

Cell: 7.0387 7.0387 5.5553 Å, 50.69 50.69 90.00°
Last column: nearest neighbours and their distance in Å.
Fractional positions:
B 0.5000 0.5000 0.0000  4 Au 2.21, 2 Pt 2.47
B 0.2500 0.7500 0.5000  4 Au 2.21, 2 Pt 2.47
Au 0.5445 0.1250 0.2500  2 B 2.21
Au 0.2055 0.6250 0.2500  2 B 2.21
Au 0.3750 0.4555 0.7500  2 B 2.21
Au 0.8750 0.7945 0.7500  2 B 2.21
Pt 0.0000 0.0000 0.0000  2 B 2.47
Pt 0.7500 0.2500 0.5000  2 B 2.47

Results
The value obtained for the uncorrected energy is -4.45 eV/atom. As for the size of the total moment: 0.0 μB/f.u. The value obtained for the energy relative to the elements is 35 kJ/mol of atoms. The space group is I-42d.